[1]
Compound: PtN2Cl6
Source: Alexandria
Functional: GGA-PBE
Structure: relaxed

Lattice parameters (Å, degrees): 9.6896 9.6896 9.6896 90.00 90.00 90.00
With the nearest neighbours (Å) after each atom.
Space group Fm-3m (No. 225)
Unique sites:
Pt  0.0000  0.0000  0.0000 x4  6 Cl 2.32
N  0.2500  0.2500  0.2500 x8  12 Cl 3.43
Cl  0.0000  0.0000  0.2394 x24  1 Pt 2.32

Output
Uncorrected energy = -24.18 eV/f.u.

---

[2]
Compound: Y3P4Pd7
Source: Alexandria
Functional: GGA-PBE
Structure: relaxed

Lattice parameters (Å, degrees): 15.4030 4.0064 9.4126 90.00 125.50 90.00
With the nearest neighbours (Å) after each atom.
Space group C2/m (No. 12)
Unique sites:
Y  0.0000  0.0000  0.0000 x2  6 P 2.96-3.00, 6 Pd 3.23-3.27
Y  0.1802  0.5000  0.6775 x4  4 P 2.94-2.98, 10 Pd 2.97-3.20
P  0.1062  0.0000  0.8200 x4  6 Pd 2.45-2.58
P  0.1599  0.5000  0.2548 x4  5 Pd 2.46-2.65
Pd  0.0000  0.0000  0.5000 x2  2 P 2.45
Pd  0.0096  0.5000  0.2830 x4  3 P 2.48
Pd  0.1674  0.0000  0.4197 x4  3 P 2.50-2.65
Pd  0.1946  0.5000  0.0301 x4  4 P 2.46-2.58

Output
Uncorrected energy = -91.27 eV/f.u.
Formation enthalpy at 0 K = -0.9922 eV per atom

---

[3]
Compound: MnRuW
Source: Alexandria
Functional: GGA-PBE
Structure: relaxed

Lattice parameters (Å, degrees): 5.7134 5.7134 5.7134 90.00 90.00 90.00
With the nearest neighbours (Å) after each atom.
Space group F-43m (No. 216)
Unique sites:
Mn  0.0000  0.0000  0.0000 x4  4 W 2.47, 4 Ru 2.47
Ru  0.2500  0.2500  0.7500 x4  4 Mn 2.47
W  0.2500  0.2500  0.2500 x4  4 Mn 2.47

Output
Uncorrected energy = -29.56 eV/f.u.
Formation enthalpy at 0 K = 0.6112 eV per atom

---

[4]
Compound: KMn2In
Source: Alexandria
Functional: GGA-PBE
Structure: relaxed

Lattice parameters (Å, degrees): 5.2824 5.2824 19.0490 90.00 90.00 90.00
With the nearest neighbours (Å) after each atom.
Space group I4_1/amd (No. 141, origin choice 2)
Unique sites:
K  0.0000  0.2500  0.3750 x4  4 In 3.74, 8 Mn 3.79
Mn  0.0000  0.0000  0.0000 x8  2 Mn 2.64, 2 In 2.72
In  0.0000  0.2500  0.8750 x4  4 Mn 2.72

Output
Uncorrected energy = -18.97 eV/f.u.
Formation enthalpy at 0 K = 0.8006 eV per atom

---

uncorrected energy of number 4 (KMn2In)? -18.97 eV/f.u.

---

What is the formula in the first record? PtN2Cl6